Entry from Alexandria via LeMat-Bulk: a geometry-optimized Ag2Sn2Pd structure (GGA-PBE).

Cell: 7.037 7.037 4.344 Å, 90.00 90.00 90.00°
Space group P4/mbm (No. 127)
Unique sites:
Ag (0.149, 0.351, 0.000) (multiplicity 4)
Sn (0.154, 0.654, 0.500) (multiplicity 4)
Pd (0.000, 0.000, 0.500) (multiplicity 2)

Summary:
Energy of formation = -0.01 eV per atom
Distance to the lowest polymorph of the same formula = 0.000 eV per atom
VASP energy = -3.794 eV/atom
Total magnetization = 0.0 Bohr magnetons per cell